A plane-wave DFT calculation with GGA-PBE was carried out for crystalline KUSe2 at its relaxed geometry.

Cell and atoms, written as POSCAR:
```
KUSe2
1.0
2.083 1.203 7.955
-2.083 1.203 7.955
0.000 -2.405 7.955
K U Se
1 1 2
direct
0.000 0.000 0.000 K
0.830 0.830 0.830 U
0.233 0.233 0.233 Se
0.428 0.428 0.428 Se
```

Symmetry: R3m, No. 160
Size of the total moment (μB per formula unit): 3.000
Formation energy from raw total energies (meV per atom): -1213
ρ (Mg/m³): 6.04
E (eV/cell): -24.2
DOS at the Fermi energy (states/eV per atom): 1.0717